Compound: LiMnF3
Source: Alexandria via LeMat-Bulk
Functional: PBE+U
Structure: optimized geometry

Total moment = 20.0 μB per cell
Calculated volume = 233.6 Å³ per cell
Relative energy among the computed polymorphs = 0.44 kcal/mol of atoms
Mass density = 3.4 g/cm³

Geometry as CIF:
```
data_LiMnF3
_chemical_formula_sum 'Li4 Mn4 F12'
_cell_length_a 5.436
_cell_length_b 7.990
_cell_length_c 5.377
_cell_angle_alpha 90.00
_cell_angle_beta 90.00
_cell_angle_gamma 90.00
_symmetry_space_group_name_H-M 'P n m a'
_symmetry_Int_Tables_number 62
_symmetry_space_group_name_Hall '-P 2ac 2n'
loop_
_atom_site_label
_atom_site_type_symbol
_atom_site_fract_x
_atom_site_fract_y
_atom_site_fract_z
_atom_site_occupancy
Li1 Li 0.020 0.250 0.017 1
Mn1 Mn 0.000 0.000 0.500 1
F1 F 0.112 0.750 0.640 1
F2 F 0.163 0.577 0.158 1
```